# PBE-GGA Hf2Sb2I, optimized geometry
data_Hf2Sb2I
_symmetry_space_group_name_H-M 'P 1'
_symmetry_Int_Tables_number 1
_cell_length_a 8.183
_cell_length_b 8.183
_cell_length_c 3.719
_cell_angle_alpha 90.00
_cell_angle_beta 90.00
_cell_angle_gamma 90.00
loop_
_symmetry_equiv_pos_as_xyz
'x,y,z'
loop_
_atom_site_label
_atom_site_fract_x
_atom_site_fract_y
_atom_site_fract_z
_atom_site_occupancy
Sb1 0.644 0.856 0.500 1
Sb2 0.856 0.356 0.500 1
Sb3 0.356 0.144 0.500 1
Sb4 0.144 0.644 0.500 1
Hf1 0.643 0.143 0.000 1
Hf2 0.857 0.643 0.000 1
Hf3 0.357 0.857 0.000 1
Hf4 0.143 0.357 0.000 1
I1 0.500 0.500 0.000 1
I2 0.000 0.000 0.000 1
# * E_tot: -6.313 eV per atom
# * total magnetic moment: 0.0 μB per cell
# * raw formation energy: -0.37 eV per atom
# * Fermi-level density of states: 2.3 states/eV/f.u.